A geometry-optimized Nd4HgTe structure. Source: Alexandria, functional PBE.

The structure in CIF format:
```
data_Nd4HgTe
_chemical_formula_sum 'Nd16 Hg4 Te4'
_symmetry_space_group_name_H-M 'P n m a'
_symmetry_Int_Tables_number 62
_cell_length_a 7.592
_cell_length_b 4.782
_cell_length_c 21.332
_cell_angle_alpha 90.00
_cell_angle_beta 90.00
_cell_angle_gamma 90.00
loop_
_symmetry_equiv_pos_as_xyz
'x,y,z'
'-x,-y,-z'
'-x+1/2,-y,z+1/2'
'x+1/2,y,-z+1/2'
'x+1/2,-y+1/2,-z+1/2'
'-x+1/2,y+1/2,z+1/2'
'-x,y+1/2,-z'
'x,-y+1/2,z'
loop_
_atom_site_label
_atom_site_fract_x
_atom_site_fract_y
_atom_site_fract_z
Nd1 0.047 0.250 0.072
Nd2 0.074 0.250 0.784
Nd3 0.087 0.250 0.359
Nd4 0.130 0.250 0.540
Hg1 0.221 0.250 0.933
Te1 0.216 0.250 0.213
```

Summary:
E above lowest polymorph = 0 meV per atom
total magnetic moment = 0.0 μB/f.u.
mass density = 7.76 Mg/m³
uncorrected formation energy = -3.41 eV per formula unit